Entry 1:
Na3Sr5F12 | GGA-PBE | relaxed

The crystal system is cubic. As for the total DFT energy (no corrections): -5.104 eV per atom. Its volume is 18.50 Å³ per atom. For the uncorrected formation energy, the calculation gives -3.363 eV per atom.

The space group is Ia-3d (No. 230) and the conventional cell measures 14.3568, 14.3568 and 14.3568 Å, with angles of 90.00, 90.00 and 90.00 degrees. The inequivalent atoms are Na at (0.0000, 0.2500, 0.1250), Sr at (0.0000, 0.0000, 0.0000), Sr at (0.0000, 0.2500, 0.3750) and F at (0.0114, 0.0577, 0.3404).


Entry 2:
Cd2Ag3Au5 | GGA-PBE | relaxed

The crystal system is orthorhombic. As for the total DFT energy (no corrections): -2.608 eV per atom. Its volume is 20.89 Å³ per atom.

The space group is Ibam (No. 72) and the conventional cell measures 10.8996, 14.1606 and 5.4132 Å, with angles of 90.00, 90.00 and 90.00 degrees. The inequivalent atoms are Cd at (0.1313, 0.1541, 0.0000), Ag at (0.0000, 0.0000, 0.2500), Ag at (0.1074, 0.2662, 0.5000), Au at (0.0000, 0.5000, 0.2500), Au at (0.1409, 0.3447, 0.0000) and Au at (0.2489, 0.0000, 0.2500).


Entry 3:
PmCrSi | GGA-PBE | relaxed

The crystal system is tetragonal. As for the total DFT energy (no corrections): -6.946 eV per atom. Its volume is 19.47 Å³ per atom. For the uncorrected formation energy, the calculation gives -0.347 eV per atom.

The space group is P4/nmm (No. 129, origin choice 2) and the conventional cell measures 3.8610, 3.8610 and 7.8364 Å, with angles of 90.00, 90.00 and 90.00 degrees. The inequivalent atoms are Pm at (0.2500, 0.2500, 0.1600), Cr at (0.2500, 0.7500, 0.5000) and Si at (0.2500, 0.2500, 0.6927).


Entry 4:
ZrSeNO2 | GGA-PBE | relaxed

The crystal system is tetragonal. As for the total DFT energy (no corrections): -6.605 eV per atom. Its volume is 14.97 Å³ per atom. For the uncorrected formation energy, the calculation gives -0.550 eV per atom.

The space group is P4/mmm (No. 123) and the conventional cell measures 4.0700, 4.0700 and 4.5183 Å, with angles of 90.00, 90.00 and 90.00 degrees. The inequivalent atoms are Zr at (0.0000, 0.0000, 0.0000), Se at (0.5000, 0.5000, 0.5000), N at (0.0000, 0.0000, 0.5000) and O at (0.0000, 0.5000, 0.0000).


Entry 5:
NaSn2Pd3 | GGA-PBE | relaxed

The crystal system is hexagonal. The relative energy among the computed polymorphs is 0.0 meV/atom. As for the total DFT energy (no corrections): -4.633 eV per atom. Its volume is 20.96 Å³ per atom.

The space group is P6mm (No. 183) and the conventional cell measures 5.7900, 5.7900 and 4.3324 Å, with angles of 90.00, 90.00 and 120.00 degrees. The inequivalent atoms are Na at (0.0000, 0.0000, 0.0000), Sn at (0.3333, 0.6667, 0.2876) and Pd at (0.0000, 0.5000, 0.7861).


Entry 6:
In4TePb | GGA-PBE | relaxed

The crystal system is cubic. As for the total DFT energy (no corrections): -2.898 eV per atom. Its volume is 29.60 Å³ per atom. For the uncorrected formation energy, the calculation gives 0.070 eV per atom.

The space group is F-43m (No. 216) and the conventional cell measures 8.9233, 8.9233 and 8.9233 Å, with angles of 90.00, 90.00 and 90.00 degrees. The inequivalent atoms are In at (0.1249, 0.1249, 0.1249), Te at (0.0000, 0.0000, 0.5000) and Pb at (0.2500, 0.2500, 0.7500).


Entry 7:
Tl2ZnP | GGA-PBE | relaxed

The crystal system is tetragonal. The relative energy among the computed polymorphs is 329.4 meV/atom. As for the total DFT energy (no corrections): -2.529 eV per atom. Its volume is 30.49 Å³ per atom.

The space group is I-42d (No. 122) and the conventional cell measures 6.7843, 6.7843 and 10.6000 Å, with angles of 90.00, 90.00 and 90.00 degrees. The inequivalent atoms are Tl at (0.2338, 0.2500, 0.1250), Zn at (0.0000, 0.0000, 0.5000) and P at (0.0000, 0.0000, 0.0000).


Entry 8:
Nb2ReMo6W3 | GGA-PBE | relaxed

The crystal system is monoclinic. As for the total DFT energy (no corrections): -11.060 eV per atom. Its volume is 16.66 Å³ per atom.

The space group is C2/m (No. 12) and the conventional cell measures 8.5748, 8.9307 and 5.2866 Å, with angles of 90.00, 99.07 and 90.00 degrees. The inequivalent atoms are Nb at (0.0000, 0.1715, 0.0000), Re at (0.0000, 0.5000, 0.0000), Mo at (0.2416, 0.5000, 0.7550), Mo at (0.2494, 0.1643, 0.7425), W at (0.0000, 0.0000, 0.5000) and W at (0.0000, 0.3359, 0.5000).


Entry 9:
Nd2Be3Cu12Ag | GGA-PBE | relaxed

The crystal system is trigonal. As for the total DFT energy (no corrections): -3.696 eV per atom. Its volume is 16.69 Å³ per atom.

The space group is R-3m (No. 166, hexagonal axes) and the conventional cell measures 7.4360, 7.4360 and 18.8206 Å, with angles of 90.00, 90.00 and 120.00 degrees. The inequivalent atoms are Nd at (0.0000, 0.0000, 0.1052), Be at (0.0000, 0.5000, 0.0000), Cu at (0.0334, 0.5167, 0.8855), Cu at (0.0372, 0.5186, 0.3565) and Ag at (0.0000, 0.0000, 0.5000).


Entry 10:
Mg2Ni5GeB2 | GGA-PBE | relaxed

The crystal system is tetragonal. As for the total DFT energy (no corrections): -5.355 eV per atom. Its volume is 11.23 Å³ per atom.

The space group is P4/mbm (No. 127) and the conventional cell measures 8.7274, 8.7274 and 2.9500 Å, with angles of 90.00, 90.00 and 90.00 degrees. The inequivalent atoms are Mg at (0.1764, 0.3236, 0.0000), Ni at (0.0000, 0.5000, 0.5000), Ni at (0.0688, 0.7780, 0.5000), Ge at (0.0000, 0.0000, 0.0000) and B at (0.1201, 0.6201, 0.0000).


Entry 11:
ZrAl2Cu | GGA-PBE | relaxed

The crystal system is hexagonal. As for the total DFT energy (no corrections): -5.223 eV per atom. Its volume is 17.07 Å³ per atom.

The space group is P-6m2 (No. 187) and the conventional cell measures 2.9845, 2.9845 and 8.8531 Å, with angles of 90.00, 90.00 and 120.00 degrees. The inequivalent atoms are Zr at (0.0000, 0.0000, 0.0000), Al at (0.3333, 0.6667, 0.2799) and Cu at (0.0000, 0.0000, 0.5000).


Entry 12:
PrY4Ag5 | GGA-PBE | relaxed

The crystal system is tetragonal. As for the total DFT energy (no corrections): -4.805 eV per atom. Its volume is 24.75 Å³ per atom.

The space group is P4/mmm (No. 123) and the conventional cell measures 3.6385, 3.6385 and 18.6952 Å, with angles of 90.00, 90.00 and 90.00 degrees. The inequivalent atoms are Pr at (0.0000, 0.0000, 0.0000), Y at (0.0000, 0.0000, 0.2048), Y at (0.0000, 0.0000, 0.4015), Ag at (0.5000, 0.5000, 0.1104), Ag at (0.5000, 0.5000, 0.3031) and Ag at (0.5000, 0.5000, 0.5000).